# 1
3
Lattice="1.5900 0.9180 5.0151 -1.5900 0.9180 5.0151 0.0000 -1.8359 5.0151" Properties=species:S:1:pos:R:3 comment="RhAuC (GGA-PBE, relaxed)" rho_g_cm3=11.79 e_form_ev_per_atom=0.50 crystal_system=trigonal e_above_lowest_polymorph_mev_per_atom=0 pbc="T T T"
Rh 0.0000 0.0000 0.0000
Au 0.0000 0.0000 7.7700
C 0.0000 0.0000 5.6386

# 2
16
Lattice="4.7014 0.0000 0.0000 0.0000 4.7014 0.0000 0.0000 0.0000 18.8877" Properties=species:S:1:pos:R:3 comment="Ce3NdIn12 (GGA-PBE, relaxed)" rho_g_cm3=7.73 e_form_ev_per_atom=-0.43 crystal_system=tetragonal pbc="T T T"
Ce 0.0000 0.0000 0.0000
Ce 0.0000 0.0000 4.7230
Ce 0.0000 0.0000 14.1648
Nd 0.0000 0.0000 9.4439
In 0.0000 2.3507 2.3581
In 0.0000 2.3507 7.0671
In 0.0000 2.3507 11.8206
In 0.0000 2.3507 16.5296
In 2.3507 0.0000 2.3581
In 2.3507 0.0000 7.0671
In 2.3507 0.0000 11.8206
In 2.3507 0.0000 16.5296
In 2.3507 2.3507 0.0000
In 2.3507 2.3507 4.7081
In 2.3507 2.3507 9.4439
In 2.3507 2.3507 14.1797

# 3
4
Lattice="2.5785 -4.8849 0.0000 2.5785 4.8849 0.0000 0.0000 0.0000 2.8307" Properties=species:S:1:pos:R:3 comment="ScW2Cl (GGA-PBE, relaxed)" rho_g_cm3=10.43 e_form_raw_ev_per_atom=0.714 crystal_system=orthorhombic e_above_lowest_polymorph_mev_per_atom=816 pbc="T T T"
Sc 0.0000 0.0000 0.0000
W 1.2892 2.4424 1.4153
W 1.2892 -2.4424 1.4153
Cl 2.5785 0.0000 0.0000

# 4
20
Lattice="4.6397 -11.1223 0.0000 4.6397 11.1223 0.0000 -3.3224 0.0000 4.7606" Properties=species:S:1:pos:R:3 comment="Tl3Sb2Au5 (GGA-PBE, relaxed)" rho_g_cm3=12.45 e_form_raw_ev_per_atom=0.012 crystal_system=monoclinic pbc="T T T"
Tl 2.1479 10.5969 3.5705
Tl 2.1325 5.1989 1.5583
Tl 5.4857 5.1989 0.8220
Tl 0.4713 -5.1989 3.9386
Tl 3.8245 -5.1989 3.2023
Tl 3.8091 -10.5969 1.1902
Sb 0.3390 2.3759 4.0551
Sb 2.0002 -2.3759 1.6748
Sb 3.9568 2.3759 3.0858
Sb 5.6180 -2.3759 0.7055
Au 3.8091 8.5095 1.1902
Au 2.1479 7.3389 3.5705
Au 1.6124 2.2223 1.4896
Au -0.0488 -2.2223 3.8699
Au 3.8091 0.0918 1.1902
Au 2.1479 -0.0918 3.5705
Au 6.0058 2.2223 0.8907
Au 4.3446 -2.2223 3.2711
Au 3.8091 -7.3389 1.1902
Au 2.1479 -8.5095 3.5705